DFT (PBE-GGA) results for an optimized crystal structure of Ac2MgNi3.

Cell: 8.5960 8.5846 6.1149 Å, 69.25 69.05 41.70°
Last column: nearest neighbours and their distance in Å.
Fractional positions:
Ac (0.2336, 0.7664, 0.7664)  10 Ni 3.13-3.44, 2 Mg 3.33
Ac (0.2500, 0.2500, 0.2500)  8 Ni 3.31-3.32, 4 Mg 3.32
Ac (0.7500, 0.7500, 0.7500)  8 Ni 3.31-3.32, 4 Mg 3.32
Ac (0.7664, 0.2336, 0.2336)  10 Ni 3.13-3.44, 2 Mg 3.33
Mg (0.3376, 0.3376, 0.6624)  3 Ni 2.56-2.58
Mg (0.6624, 0.6624, 0.3376)  3 Ni 2.56-2.58
Ni (0.1589, 0.6792, 0.3208)  2 Ni 2.40-2.41, 1 Mg 2.56
Ni (0.1635, 0.1635, 0.8365)  2 Ni 2.41, 1 Mg 2.58
Ni (0.3208, 0.8411, 0.1589)  2 Ni 2.40-2.41, 1 Mg 2.56
Ni (0.6792, 0.1589, 0.8411)  2 Ni 2.40-2.41, 1 Mg 2.56
Ni (0.8365, 0.8365, 0.1635)  2 Ni 2.41, 1 Mg 2.58
Ni (0.8411, 0.3208, 0.6792)  2 Ni 2.40-2.41, 1 Mg 2.56

Summary:
Theoretical density in g cm⁻³: 7.83
Energy relative to the elements in kcal/mol of atoms: -3.530
Raw total energy in eV per cell: -56.15